Record 1
Entry from Alexandria via LeMat-Bulk: Mg4Cd2In5 after structural relaxation (PBE-GGA).

Results
electronic total energy	-0.15094	Ry per atom
Fermi-level density of states	3.8	states/eV per cell
total moment	0.0000	μB/atom
space-group type	P2/m
crystal system	monoclinic
DFT formation energy	-0.06	eV/atom
volume	262.1	Å³/cell

CIF file:
```
data_Mg4Cd2In5
_space_group_name_H-M_alt 'P 1'
_space_group_IT_number 1
_cell_length_a 3.239
_cell_length_b 8.231
_cell_length_c 9.901
_cell_angle_alpha 96.71
_cell_angle_beta 90.00
_cell_angle_gamma 90.00
loop_
_space_group_symop_operation_xyz
'x,y,z'
loop_
_atom_site_label
_atom_site_type_symbol
_atom_site_fract_x
_atom_site_fract_y
_atom_site_fract_z
Mg1 Mg 0.500 0.740 0.570
Mg2 Mg 0.500 0.188 0.886
Mg3 Mg 0.500 0.260 0.430
Mg4 Mg 0.500 0.812 0.114
Cd1 Cd 0.000 0.081 0.637
Cd2 Cd 0.000 0.919 0.363
In1 In 0.000 0.543 0.318
In2 In 0.000 0.165 0.151
In3 In 0.000 0.500 0.000
In4 In 0.000 0.835 0.849
In5 In 0.000 0.457 0.682
```


Record 2
Entry from Alexandria via LeMat-Bulk: Mg8Cd2In after structural relaxation (PBE-GGA).

Results
electronic total energy	-0.11645	Ry per atom
Fermi-level density of states	3.8	states/eV per cell
total moment	0.0000	μB/atom
space-group type	C2/m
crystal system	monoclinic
DFT formation energy	-0.01	eV/atom
volume	258.9	Å³/cell

CIF file:
```
data_Mg8Cd2In
_space_group_name_H-M_alt 'P 1'
_space_group_IT_number 1
_cell_length_a 5.263
_cell_length_b 7.941
_cell_length_c 7.814
_cell_angle_alpha 59.46
_cell_angle_beta 78.56
_cell_angle_gamma 67.02
loop_
_space_group_symop_operation_xyz
'x,y,z'
loop_
_atom_site_label
_atom_site_type_symbol
_atom_site_fract_x
_atom_site_fract_y
_atom_site_fract_z
Mg1 Mg 0.870 0.095 0.228
Mg2 Mg 0.870 0.323 0.772
Mg3 Mg 0.303 0.401 0.000
Mg4 Mg 0.500 0.780 0.439
Mg5 Mg 0.500 0.220 0.561
Mg6 Mg 0.697 0.599 0.000
Mg7 Mg 0.130 0.677 0.228
Mg8 Mg 0.130 0.905 0.772
Cd1 Cd 0.000 0.304 0.393
Cd2 Cd 0.000 0.696 0.607
In1 In 0.500 0.000 0.000
```